Density functional theory data (PBE) for a relaxed structure of Pr3Cu3Ir.

a b c (Å): 4.6456 5.6585 12.6510
angles (deg): 90.00 90.00 114.24
Closest atoms and distances in Å follow each position.
Atoms (fractional coordinates):
Pr  0.4753  0.9506  0.2500  7 Cu 3.00-3.21, 2 Ir 3.17
Pr  0.2365  0.4731  0.9011  1 Ir 2.99, 6 Cu 3.01-3.17
Pr  0.5247  0.0494  0.7500  7 Cu 3.00-3.21, 2 Ir 3.17
Pr  0.2365  0.4731  0.5989  1 Ir 2.99, 6 Cu 3.01-3.17
Pr  0.7635  0.5269  0.4011  1 Ir 2.99, 6 Cu 3.01-3.17
Pr  0.7635  0.5269  0.0989  1 Ir 2.99, 6 Cu 3.01-3.17
Cu  0.0554  0.1108  0.4126  2 Cu 2.45-2.49, 2 Ir 2.64
Cu  0.0554  0.1108  0.0874  2 Cu 2.45-2.49, 2 Ir 2.64
Cu  0.1848  0.3696  0.2500  2 Cu 2.45
Cu  0.8152  0.6304  0.7500  2 Cu 2.45
Cu  0.9446  0.8892  0.9126  2 Cu 2.45-2.49, 2 Ir 2.64
Cu  0.9446  0.8892  0.5874  2 Cu 2.45-2.49, 2 Ir 2.64
Ir  0.5000  0.0000  0.0000  4 Cu 2.64
Ir  0.5000  0.0000  0.5000  4 Cu 2.64

energy relative to the elements: -0.267 eV per atom
E: -5.337 eV/atom